No. 1
The following is a PBE calculation of a geometry-optimized Si2TeAu structure, from Alexandria via LeMat-Bulk.

Summary:
As for the total magnetic moment: 0.00 μB/f.u. The value obtained for the formation energy without anion corrections is 400 meV per atom.

abc: 3.184 3.435 7.460
angles: 90.00 90.00 90.00
Element x y z (fractional)
Te: 0.000 0.000 0.510
Si: 0.500 0.500 0.155
Si: 0.000 0.000 0.032
Au: 0.500 0.500 0.803

No. 2
The following is a PBE calculation of a geometry-optimized MgTlRe2 structure, from Alexandria via LeMat-Bulk.

Summary:
As for the total magnetic moment: 0.00 μB/f.u. The formation enthalpy at 0 K comes out at 737.3 meV per atom.

abc: 5.497 5.497 5.497
angles: 146.11 131.44 60.53
Element x y z (fractional)
Re: 0.500 0.500 0.000
Re: 0.000 0.000 0.000
Tl: 0.750 0.250 0.500
Mg: 0.250 0.750 0.500

Listing ρ for the structures above in their given order: 7.750; 14.515 g/cm³.
Listing E for the structures above in their given order: -15.7; -25.9 eV/cell.
Listing N(E_F) for the structures above in their given order: 0.99; 3.14 states/eV/cell.